The following is a PBE-GGA calculation of a geometry-optimized Na3Pu2WN6 structure, from Alexandria.

POSCAR file:
```
Na3Pu2WN6
1.0
2.879 -4.989 0.000
2.879 4.989 0.000
-1.912 0.000 5.683
Na Pu W N
3 2 1 6
Direct
0.000 0.000 0.000
0.339 0.661 0.000
0.661 0.339 0.000
0.167 0.833 0.500
0.833 0.167 0.500
0.500 0.500 0.500
0.126 0.437 0.311
0.250 0.250 0.688
0.437 0.126 0.311
0.563 0.874 0.689
0.750 0.750 0.312
0.874 0.563 0.689
```

Computed properties:
Raw total energy (eV per cell): -103.835
ΔE_f (raw) (eV per atom): -0.6924